Record 1
Computed, not measured: crystalline Li2ZrSc at its relaxed geometry at the GGA-PBEsol level of DFT.

Values from the calculation:
energy relative to the lowest polymorph listed for this composition	0.0000	eV/atom
energy of formation	0.086	eV per atom
raw total energy	-4.821	eV/atom
D(E_F)	3.5	states/eV per cell

Unit cell a=3.059 b=3.059 c=9.176 alpha=90.00 beta=90.00 gamma=90.00
Space group P4mm (No. 99)
One atom of each set of equivalent atoms:
Li (0.000, 0.000, 0.000) [1 per cell]
Li (0.500, 0.500, 0.235) [1 per cell]
Zr (0.000, 0.000, 0.498) [1 per cell]
Sc (0.500, 0.500, 0.732) [1 per cell]



Record 2
Computed, not measured: crystalline Li2ZrSc at its relaxed geometry at the GGA-PBEsol level of DFT.

Values from the calculation:
energy relative to the lowest polymorph listed for this composition	0.1738	eV/atom
energy of formation	0.260	eV per atom
raw total energy	-4.647	eV/atom
D(E_F)	4.6	states/eV per cell

Unit cell a=2.877 b=5.304 c=5.463 alpha=90.00 beta=95.33 gamma=90.00
Space group P2/m (No. 10)
One atom of each set of equivalent atoms:
Li (0.219, 0.000, 0.245) [2 per cell]
Zr (0.500, 0.500, 0.000) [1 per cell]
Sc (0.000, 0.500, 0.500) [1 per cell]



Record 3
Computed, not measured: crystalline Li2ZrSc at its relaxed geometry at the GGA-PBEsol level of DFT.

Values from the calculation:
energy relative to the lowest polymorph listed for this composition	0.1579	eV/atom
energy of formation	0.244	eV per atom
raw total energy	-4.663	eV/atom
D(E_F)	3.8	states/eV per cell

Unit cell a=2.918 b=4.695 c=6.108 alpha=90.00 beta=103.83 gamma=90.00
Space group Pm (No. 6)
One atom of each set of equivalent atoms:
Li (0.000, 0.000, 0.000) [1 per cell]
Li (0.180, 0.500, 0.250) [1 per cell]
Zr (0.395, 0.500, 0.755) [1 per cell]
Sc (0.776, 0.000, 0.503) [1 per cell]



Record 4
Computed, not measured: crystalline Li2ZrSc at its relaxed geometry at the GGA-PBEsol level of DFT.

Values from the calculation:
energy relative to the lowest polymorph listed for this composition	0.3964	eV/atom
energy of formation	0.483	eV per atom
raw total energy	-4.424	eV/atom
D(E_F)	19.6	states/eV per cell

Unit cell a=6.873 b=6.873 c=6.873 alpha=90.00 beta=90.00 gamma=90.00
Space group F-43m (No. 216)
One atom of each set of equivalent atoms:
Li (0.000, 0.000, 0.000) [4 per cell]
Li (0.250, 0.250, 0.250) [4 per cell]
Zr (0.250, 0.250, 0.750) [4 per cell]
Sc (0.000, 0.000, 0.500) [4 per cell]



Record 5
Computed, not measured: crystalline Li2ZrSc at its relaxed geometry at the GGA-PBEsol level of DFT.

Values from the calculation:
energy relative to the lowest polymorph listed for this composition	0.2317	eV/atom
energy of formation	0.318	eV per atom
raw total energy	-4.589	eV/atom
D(E_F)	3.8	states/eV per cell

Unit cell a=2.866 b=4.764 c=5.906 alpha=90.00 beta=90.00 gamma=90.00
Space group Pmmm (No. 47)
One atom of each set of equivalent atoms:
Li (0.000, 0.000, 0.246) [2 per cell]
Zr (0.500, 0.500, 0.000) [1 per cell]
Sc (0.500, 0.500, 0.500) [1 per cell]



Record 6
Computed, not measured: crystalline LiSe2 at its relaxed geometry at the GGA-PBEsol level of DFT.

Values from the calculation:
energy relative to the lowest polymorph listed for this composition	0.1041	eV/atom
raw total energy	-3.571	eV/atom
raw formation energy	-349	meV per atom
D(E_F)	0.8	states/eV per cell

Unit cell a=2.9226 b=2.9226 c=7.7665 alpha=90.00 beta=90.00 gamma=120.00
Space group P-3m1 (No. 164)
One atom of each set of equivalent atoms:
Li (0.0000, 0.0000, 0.0000) [1 per cell]
Se (0.3333, 0.6667, 0.2635) [2 per cell]